A plane-wave DFT calculation with PBE was carried out for a geometry-optimized GePbAu2 structure. Values from VASP.

```
&SYSTEM
  ibrav = 0, nat = 8, ntyp = 3
/
ATOMIC_SPECIES
Ge 72.64 Ge.upf
Pb 207.20 Pb.upf
Au 196.97 Au.upf
CELL_PARAMETERS angstrom
4.332 0.000 0.000
0.002 6.594 0.000
2.136 1.374 6.619
ATOMIC_POSITIONS crystal
Ge 0.132 0.102 0.242
Ge 0.868 0.898 0.758
Pb 0.358 0.469 0.776
Pb 0.642 0.531 0.224
Au 0.030 0.723 0.449
Au 0.257 0.835 0.984
Au 0.743 0.165 0.016
Au 0.970 0.277 0.551
```

Output
Distance to the lowest polymorph of the same formula: 0 meV per atom
Crystal system: triclinic
Fermi-level density of states: 0.33 states/eV per atom
Energy of formation: -0.15 eV/f.u.
Density: 11.83 g cm⁻³